This record from the Alexandria database describes a geometry-optimized LaHgIrN2 structure. The functional is PBEsol.

ΔE_f (raw) = 124.0 kJ per mole of atoms
M_tot = 2.10 μB per cell
Total DFT energy (no corrections) = -5.27 eV/atom

Geometry as extended XYZ:
```
5
Lattice="4.214 0.000 0.000 0.000 4.214 0.000 0.000 0.000 5.130" Properties=species:S:1:pos:R:3 pbc="T T T"
La 0.000 0.000 0.000
Hg 2.107 2.107 2.565
Ir 2.107 2.107 0.000
N 0.000 2.107 2.565
N 2.107 0.000 2.565
```